1.
This record from Alexandria describes an optimized crystal structure of AsC2. The functional is PBE-GGA.

Structure (extended XYZ):
```
12
Lattice="-2.429 1.091 -2.097 -2.667 -4.212 0.898 -3.741 3.704 6.259" Properties=species:S:1:pos:R:3 pbc="T T T"
C -2.832 -2.878 0.414
As -7.265 0.732 4.688
C -2.781 -1.640 0.999
As -3.919 -1.252 2.519
As -4.917 1.834 2.542
C -6.703 -0.564 3.362
C -6.056 2.222 4.062
C -3.086 0.800 2.622
C -2.134 1.146 1.699
C -6.005 3.460 4.647
C -5.750 -0.218 2.439
As -1.572 -0.150 0.373
```

Values from the calculation:
- Uncorrected energy: -6.5191 eV per atom
- Magnetic moment: 0.00 μB/atom
- Formation energy from the elements: 1180.0 meV/atom
- Excess energy over the best structure of this formula in the dataset: 829 meV/atom
- Space group: Pnma (62)

***

2.
This record from Alexandria describes an optimized crystal structure of Ho2BeGe3Ir4. The functional is PBE-GGA.

Structure (extended XYZ):
```
10
Lattice="-2.499 -3.019 1.344 -0.960 -0.949 -3.917 7.715 -6.526 -0.311" Properties=species:S:1:pos:R:3 pbc="T T T"
Ir 2.416 -2.924 -2.075
Ge 3.858 -3.263 -0.155
Be 2.128 -5.247 -1.442
Ge 5.416 -7.147 0.403
Ho 5.267 -5.335 -2.190
Ir 3.569 -5.585 0.478
Ir -1.730 -1.984 -1.286
Ir 0.000 0.000 0.000
Ge 0.570 -1.362 -2.001
Ho 0.719 -3.174 0.593
```

Values from the calculation:
- Uncorrected energy: -6.9414 eV per atom
- Magnetic moment: 0.00 μB/atom
- Formation energy from the elements: -723.6 meV/atom
- Space group: P-4m2 (115)

***

3.
This record from Alexandria describes an optimized crystal structure of PuZr4. The functional is PBE-GGA.

Structure (extended XYZ):
```
10
Lattice="-4.631 -3.021 -0.096 2.918 -4.452 -0.683 0.455 -0.955 8.147" Properties=species:S:1:pos:R:3 pbc="T T T"
Zr -2.367 -4.421 3.757
Pu 0.000 0.000 0.000
Zr 1.027 -4.687 7.678
Zr -0.765 -6.596 5.484
Zr -2.285 -3.741 -0.310
Zr 1.109 -4.007 3.611
Pu -2.088 -1.988 4.025
Zr -0.267 -2.311 5.958
Zr -0.991 -6.118 1.410
Zr -0.494 -1.832 1.884
```

Values from the calculation:
- Uncorrected energy: -9.0432 eV per atom
- Magnetic moment: 0.76 μB/atom
- Formation energy from the elements: 661.7 meV/atom
- Excess energy over the best structure of this formula in the dataset: 595 meV/atom
- Space group: Pmna (53)

***

4.
This record from Alexandria describes an optimized crystal structure of LaAsAuI2. The functional is PBE-GGA.

Structure (extended XYZ):
```
5
Lattice="5.478 0.000 0.000 0.000 5.339 0.000 0.000 0.000 5.478" Properties=species:S:1:pos:R:3 pbc="T T T"
As 0.000 2.669 0.000
Au 0.000 0.000 0.000
I 0.000 0.000 2.739
La 2.739 2.669 2.739
I 2.739 0.000 0.000
```

Values from the calculation:
- Uncorrected energy: -3.3380 eV per atom
- Magnetic moment: 0.00 μB/atom
- Energy relative to the elements, uncorrected: -0.74 eV/f.u.
- Space group: P4/mmm (123)

***

5.
This record from Alexandria describes an optimized crystal structure of CePm4Tm8. The functional is PBE-GGA.

Structure (extended XYZ):
```
13
Lattice="-1.147 6.978 -3.138 -7.150 -2.124 -2.056 -2.693 2.582 6.778" Properties=species:S:1:pos:R:3 pbc="T T T"
Pm -4.149 2.427 -2.597
Tm -4.039 3.125 3.880
Tm -6.951 4.311 -2.295
Pm 0.000 0.000 0.000
Tm -8.334 5.639 1.201
Pm -1.920 4.780 1.820
Tm -4.651 6.739 2.263
Ce -5.495 3.718 0.792
Pm -4.921 0.229 2.361
Tm -2.656 1.797 0.383
Tm -7.749 2.042 2.822
Tm -6.339 0.697 -0.679
Tm -3.242 5.394 -1.237
```

Values from the calculation:
- Uncorrected energy: -4.1397 eV per atom
- Magnetic moment: 0.21 μB/atom
- Formation energy from the elements: 530.2 meV/atom
- Space group: R-3m (166)

***

6.
This record from Alexandria describes an optimized crystal structure of CuRh2Br. The functional is PBE-GGA.

Structure (extended XYZ):
```
4
Lattice="-4.094 0.544 1.714 -1.770 -3.170 2.609 -0.510 0.737 4.380" Properties=species:S:1:pos:R:3 pbc="T T T"
Rh -4.781 -1.416 6.527
Rh 0.000 0.000 0.000
Br -3.187 -0.944 4.351
Cu -1.594 -0.472 2.176
```

Values from the calculation:
- Uncorrected energy: -4.4447 eV per atom
- Magnetic moment: 0.46 μB/atom
- Energy relative to the elements, uncorrected: 2.69 eV/f.u.
- Excess energy over the best structure of this formula in the dataset: 347 meV/atom
- Space group: F-43m (216)

***

7.
This record from Alexandria describes an optimized crystal structure of Cs2Sc2Os. The functional is PBE-GGA.

Structure (extended XYZ):
```
5
Lattice="4.222 0.000 0.000 0.000 4.222 0.000 2.111 2.111 9.329" Properties=species:S:1:pos:R:3 pbc="T T T"
Cs 2.111 4.222 4.664
Sc 2.111 2.111 1.300
Sc 4.222 4.222 8.028
Os 0.000 0.000 0.000
Cs 4.222 2.111 4.664
```

Values from the calculation:
- Uncorrected energy: -3.6055 eV per atom
- Magnetic moment: 0.02 μB/atom
- Formation energy from the elements: 1514.5 meV/atom
- Excess energy over the best structure of this formula in the dataset: 969 meV/atom
- Space group: I4/mmm (139)

***

8.
This record from Alexandria describes an optimized crystal structure of ZnAgHgPd. The functional is PBE-GGA.

Structure (extended XYZ):
```
4
Lattice="4.607 0.000 0.000 2.304 3.990 0.000 2.304 1.330 3.762" Properties=species:S:1:pos:R:3 pbc="T T T"
Pd 4.607 2.660 1.881
Zn 6.911 3.990 2.821
Hg 2.304 1.330 0.940
Ag 0.000 0.000 0.000
```

Values from the calculation:
- Uncorrected energy: -2.5035 eV per atom
- Magnetic moment: 0.00 μB/atom
- Formation energy from the elements: -98.6 meV/atom
- Space group: F-43m (216)

***

9.
This record from Alexandria describes an optimized crystal structure of CsSi3Hg. The functional is PBE-GGA.

Structure (extended XYZ):
```
5
Lattice="5.363 0.000 0.000 0.000 5.363 0.000 0.000 0.000 5.363" Properties=species:S:1:pos:R:3 pbc="T T T"
Si 0.000 0.000 2.681
Si 2.681 0.000 0.000
Si 0.000 2.681 0.000
Hg 0.000 0.000 0.000
Cs 2.681 2.681 2.681
```

Values from the calculation:
- Uncorrected energy: -2.4508 eV per atom
- Magnetic moment: 0.00 μB/atom
- Energy relative to the elements, uncorrected: 5.17 eV/f.u.
- Excess energy over the best structure of this formula in the dataset: 0 meV/atom
- Space group: Pm-3m (221)

***

10.
This record from Alexandria describes an optimized crystal structure of PaGaCuPt3. The functional is PBE-GGA.

Structure (extended XYZ):
```
12
Lattice="6.515 0.000 0.000 0.000 5.575 0.000 0.000 -2.788 6.033" Properties=species:S:1:pos:R:3 pbc="T T T"
Cu 1.629 2.788 4.704
Pa 4.886 0.000 3.997
Pt 0.000 1.404 0.000
Pt 3.258 1.404 0.000
Cu 4.886 0.000 1.329
Pt 4.886 2.788 3.993
Ga 4.886 2.788 1.522
Ga 1.629 0.000 4.511
Pt 3.258 4.171 0.000
Pt 1.629 0.000 2.040
Pa 1.629 2.788 2.036
Pt 0.000 4.171 0.000
```

Values from the calculation:
- Uncorrected energy: -6.3188 eV per atom
- Magnetic moment: 0.00 μB/atom
- Formation energy from the elements: -528.6 meV/atom
- Space group: Cmcm (63)

***

11.
This record from Alexandria describes an optimized crystal structure of PaGa4CuNi2. The functional is PBE-GGA.

Structure (extended XYZ):
```
8
Lattice="-3.541 -1.924 0.946 -0.250 -2.309 3.427 -3.765 5.337 5.822" Properties=species:S:1:pos:R:3 pbc="T T T"
Ga -3.033 -1.457 3.797
Ni -5.575 0.582 7.486
Ga -4.751 -1.641 6.049
Pa 0.000 0.000 0.000
Cu -3.778 0.552 5.097
Ga -2.804 2.746 4.146
Ga -4.523 2.562 6.397
Ni -1.980 0.523 2.708
```

Values from the calculation:
- Uncorrected energy: -4.9398 eV per atom
- Magnetic moment: 0.00 μB/atom
- Formation energy from the elements: -282.0 meV/atom
- Space group: R-3m (166)

***

12.
This record from Alexandria describes an optimized crystal structure of CsLiMg6. The functional is PBE-GGA.

Structure (extended XYZ):
```
8
Lattice="3.162 -9.013 0.000 3.162 9.013 0.000 0.000 0.000 4.983" Properties=species:S:1:pos:R:3 pbc="T T T"
Mg 4.730 -1.261 2.492
Mg 1.593 -1.261 2.492
Mg 3.162 -7.653 2.492
Cs 3.162 3.870 2.492
Li 3.162 7.130 0.000
Mg 3.162 -2.147 0.000
Mg 1.630 0.660 0.000
Mg 4.693 0.660 0.000
```

Values from the calculation:
- Uncorrected energy: -1.3497 eV per atom
- Magnetic moment: 0.00 μB/atom
- Formation energy from the elements: 192.2 meV/atom
- Excess energy over the best structure of this formula in the dataset: 9 meV/atom
- Space group: Amm2 (38)

***

13.
This record from Alexandria describes an optimized crystal structure of Sm6Te3P2Cl. The functional is PBE-GGA.

Structure (extended XYZ):
```
12
Lattice="-3.691 1.994 0.324 -2.980 -6.348 5.107 5.710 5.199 5.735" Properties=species:S:1:pos:R:3 pbc="T T T"
Sm -0.062 -1.485 8.421
Sm -0.345 2.217 9.734
P 0.302 -0.042 3.695
Sm -0.616 -1.373 1.432
Sm -0.899 2.329 2.745
Cl -1.846 0.997 0.162
P -1.263 0.886 7.472
Te -3.336 -2.177 2.716
Te 0.275 4.136 5.000
Te -1.236 -3.291 6.166
Sm 1.196 1.229 6.059
Sm -2.158 -0.385 5.107
```

Values from the calculation:
- Uncorrected energy: -5.7059 eV per atom
- Magnetic moment: 0.00 μB/atom
- Energy relative to the elements, uncorrected: -18.06 eV/f.u.
- Space group: C2/m (12)